First-principles (GGA+U) data for an optimized crystal structure of K3Nb2VO9, as listed in Alexandria via LeMat-Bulk.

Properties
VASP energy in eV/atom: -7.2481
Calculated volume in Å³/atom: 12.68

Lattice parameters (Å, degrees): 5.638 5.638 6.908 90.00 90.00 120.00
Element x y z (fractional)
K: 0.333 0.667 0.666
K: 0.000 0.000 0.000
K: 0.667 0.333 0.334
Nb: 0.333 0.667 0.173
Nb: 0.667 0.333 0.827
V: 0.000 0.000 0.500
O: 0.838 0.162 0.660
O: 0.838 0.677 0.660
O: 0.323 0.162 0.660
O: 0.677 0.838 0.340
O: 0.162 0.323 0.340
O: 0.162 0.838 0.340
O: 0.500 0.000 0.000
O: 0.000 0.500 0.000
O: 0.500 0.500 0.000